Record 1
Material: Ta4Mo2Ir
Method: DFT, PBE
State: optimized geometry

Calculated values
Calculated formation energy   -26 meV per atom
Calculated total energy   -11.1597 eV/atom
Symmetry   No. 139
Total moment   0.00 μB/atom

Unit cell a=5.5000 b=5.5000 c=5.5000 alpha=108.47 beta=109.98 gamma=109.98
Sites, in units of the cell vectors:
1 Ta 0.5000 0.0000 0.0000
2 Ta 0.5000 0.5000 0.5000
3 Ta 0.0000 0.0000 0.5000
4 Ta 0.0000 0.5000 0.0000
5 Mo 0.5000 0.5000 0.0000
6 Mo 0.5000 0.0000 0.5000
7 Ir 0.0000 0.0000 0.0000

***

Record 2
Material: Ta2MoIr2
Method: DFT, PBE
State: optimized geometry

Calculated values
Calculated formation energy   -255 meV per atom
Calculated total energy   -10.7069 eV/atom
Symmetry   No. 127
Total moment   0.00 μB/atom

Unit cell a=7.5606 b=7.5606 c=2.9514 alpha=90.00 beta=90.00 gamma=90.00
Sites, in units of the cell vectors:
1 Mo 0.0000 0.0000 0.0000
2 Mo 0.5000 0.5000 0.0000
3 Ir 0.3685 0.8685 0.0000
4 Ir 0.8685 0.6315 0.0000
5 Ir 0.6315 0.1315 0.0000
6 Ir 0.1315 0.3685 0.0000
7 Ta 0.1676 0.6676 0.5000
8 Ta 0.6676 0.8324 0.5000
9 Ta 0.8324 0.3324 0.5000
10 Ta 0.3324 0.1676 0.5000

***

Record 3
Material: Ta2MoIr
Method: DFT, PBE
State: optimized geometry

Calculated values
Calculated formation energy   -236 meV per atom
Calculated total energy   -11.0856 eV/atom
Symmetry   No. 10
Total moment   0.00 μB/atom

Unit cell a=4.4320 b=2.8090 c=5.3830 alpha=80.65 beta=90.00 gamma=90.00
Sites, in units of the cell vectors:
1 Ir 0.5000 0.2500 0.2500
2 Mo 0.5000 0.7500 0.7500
3 Ta 0.0000 0.9827 0.9960
4 Ta 0.0000 0.5173 0.5040

***

Record 4
Material: TaMoIr2
Method: DFT, PBE
State: optimized geometry

Calculated values
Calculated formation energy   -344 meV per atom
Calculated total energy   -10.4455 eV/atom
Symmetry   No. 119
ΔE to the lowest computed polymorph   122.3 meV per atom
Total moment   0.00 μB/atom

Unit cell a=4.8980 b=4.8980 c=4.8980 alpha=132.56 beta=132.55 gamma=69.35
Sites, in units of the cell vectors:
1 Ir 0.0000 0.0000 0.0000
2 Ir 0.7500 0.2500 0.5000
3 Mo 0.5000 0.5000 0.0000
4 Ta 0.2500 0.7500 0.5000

***

Record 5
Material: TaMoIr2
Method: DFT, PBE
State: optimized geometry

Calculated values
Calculated formation energy   -459 meV per atom
Calculated total energy   -10.5603 eV/atom
Symmetry   No. 69
ΔE to the lowest computed polymorph   7.5 meV per atom
Total moment   0.00 μB/atom

Unit cell a=4.8312 b=4.8312 c=4.8368 alpha=131.41 beta=131.41 gamma=71.07
Sites, in units of the cell vectors:
1 Mo 0.7500 0.2500 0.5000
2 Ir 0.0000 0.0000 0.0000
3 Ir 0.5000 0.5000 0.0000
4 Ta 0.2500 0.7500 0.5000

***

Record 6
Material: TaMoIr2
Method: DFT, PBE
State: optimized geometry

Calculated values
Calculated formation energy   251 meV per atom
Calculated total energy   -9.8500 eV/atom
Symmetry   No. 122
ΔE to the lowest computed polymorph   717.8 meV per atom
Total moment   0.00 μB/atom

Unit cell a=7.0886 b=7.0886 c=5.7080 alpha=51.62 beta=51.62 gamma=90.00
Sites, in units of the cell vectors:
1 Mo 0.5000 0.5000 0.0000
2 Mo 0.2500 0.7500 0.5000
3 Ir 0.6170 0.1250 0.2500
4 Ir 0.1330 0.6250 0.2500
5 Ir 0.3750 0.3830 0.7500
6 Ir 0.8750 0.8670 0.7500
7 Ta 0.0000 0.0000 0.0000
8 Ta 0.7500 0.2500 0.5000